[1]
DFT (PBE) results for a relaxed structure of YTa3Cr. Values from VASP.

Calculated values
energy above the lowest structure with this stoichiometry: 0.00 eV/f.u.
total energy: -48.187 eV/f.u.
space-group type: Pm-3m (221)
mass density: 10.72 Mg/m³
E_form: 0.692 eV/atom
total magnetization: 0.0 Bohr magnetons per cell

Quantum ESPRESSO input file:
```
&SYSTEM
  ibrav = 0, nat = 5, ntyp = 3
/
ATOMIC_SPECIES
Ta 180.95 Ta.upf
Cr 52.00 Cr.upf
Y 88.91 Y.upf
CELL_PARAMETERS angstrom
4.7312 0.0000 0.0000
0.0000 4.7312 0.0000
0.0000 0.0000 4.7312
ATOMIC_POSITIONS crystal
Ta 0.0000 0.0000 0.5000
Ta 0.0000 0.5000 0.0000
Ta 0.5000 0.0000 0.0000
Cr 0.0000 0.0000 0.0000
Y 0.5000 0.5000 0.5000
```



[2]
DFT (PBE) results for a relaxed structure of Y2TaCr. Values from VASP.

Calculated values
energy above the lowest structure with this stoichiometry: 2.65 eV/f.u.
total energy: -30.738 eV/f.u.
space-group type: I-42d (122)
mass density: 7.10 Mg/m³
E_form: 0.917 eV/atom
total magnetization: 5.0 Bohr magnetons per cell

Quantum ESPRESSO input file:
```
&SYSTEM
  ibrav = 0, nat = 8, ntyp = 3
/
ATOMIC_SPECIES
Y 88.91 Y.upf
Ta 180.95 Ta.upf
Cr 52.00 Cr.upf
CELL_PARAMETERS angstrom
-0.1496 -1.5858 -7.8333
4.4217 -6.5429 1.2401
-0.3679 -5.6853 -2.9206
ATOMIC_POSITIONS crystal
Y 0.3750 0.4041 0.7500
Y 0.8750 0.8459 0.7500
Y 0.1541 0.6250 0.2500
Y 0.5959 0.1250 0.2500
Ta 0.7500 0.2500 0.5000
Ta 0.0000 0.0000 0.0000
Cr 0.2500 0.7500 0.5000
Cr 0.5000 0.5000 0.0000
```



[3]
DFT (PBE) results for a relaxed structure of YTaCr. Values from VASP.

Calculated values
energy above the lowest structure with this stoichiometry: 4.05 eV/f.u.
total energy: -22.952 eV/f.u.
space-group type: F-43m (216)
mass density: 7.14 Mg/m³
E_form: 1.663 eV/atom
total magnetization: 1.6 Bohr magnetons per cell

Quantum ESPRESSO input file:
```
&SYSTEM
  ibrav = 0, nat = 3, ntyp = 3
/
ATOMIC_SPECIES
Ta 180.95 Ta.upf
Y 88.91 Y.upf
Cr 52.00 Cr.upf
CELL_PARAMETERS angstrom
-2.9645 -3.3225 -1.5954
-1.9939 -3.0405 3.0253
-4.6233 0.3007 0.9528
ATOMIC_POSITIONS crystal
Ta 0.5000 0.5000 0.5000
Y 0.7500 0.7500 0.7500
Cr 0.0000 0.0000 0.0000
```



[4]
DFT (PBE) results for a relaxed structure of YTa2Cr. Values from VASP.

Calculated values
energy above the lowest structure with this stoichiometry: 0.00 eV/f.u.
total energy: -38.670 eV/f.u.
space-group type: P4/mmm (123)
mass density: 10.83 Mg/m³
E_form: 0.281 eV/atom
total magnetization: 0.0 Bohr magnetons per cell

Quantum ESPRESSO input file:
```
&SYSTEM
  ibrav = 0, nat = 4, ntyp = 3
/
ATOMIC_SPECIES
Ta 180.95 Ta.upf
Cr 52.00 Cr.upf
Y 88.91 Y.upf
CELL_PARAMETERS angstrom
-0.0567 -3.1566 0.0443
2.8801 -0.0698 -1.2920
3.1650 0.0422 7.0533
ATOMIC_POSITIONS crystal
Ta 0.0000 0.0000 0.9370
Ta 0.0000 0.0000 0.5630
Cr 0.5000 0.5000 0.7500
Y 0.5000 0.5000 0.2500
```



[5]
DFT (PBE) results for a relaxed structure of YTa3Cr. Values from VASP.

Calculated values
energy above the lowest structure with this stoichiometry: 10.74 eV/f.u.
total energy: -37.444 eV/f.u.
space-group type: Pm-3m (221)
mass density: 9.97 Mg/m³
E_form: 2.840 eV/atom
total magnetization: 0.0 Bohr magnetons per cell

Quantum ESPRESSO input file:
```
&SYSTEM
  ibrav = 0, nat = 5, ntyp = 3
/
ATOMIC_SPECIES
Ta 180.95 Ta.upf
Cr 52.00 Cr.upf
Y 88.91 Y.upf
CELL_PARAMETERS angstrom
4.8468 0.0000 0.0000
0.0000 4.8468 0.0000
0.0000 0.0000 4.8468
ATOMIC_POSITIONS crystal
Ta 0.0000 0.5000 0.0000
Ta 0.0000 0.0000 0.5000
Ta 0.5000 0.0000 0.0000
Cr 0.5000 0.5000 0.5000
Y 0.0000 0.0000 0.0000
```



[6]
DFT (PBE) results for a relaxed structure of Y2TaCr. Values from VASP.

Calculated values
energy above the lowest structure with this stoichiometry: 1.32 eV/f.u.
total energy: -32.073 eV/f.u.
space-group type: Immm (71)
mass density: 7.79 Mg/m³
E_form: 0.583 eV/atom
total magnetization: 1.4 Bohr magnetons per cell

Quantum ESPRESSO input file:
```
&SYSTEM
  ibrav = 0, nat = 4, ntyp = 3
/
ATOMIC_SPECIES
Y 88.91 Y.upf
Cr 52.00 Cr.upf
Ta 180.95 Ta.upf
CELL_PARAMETERS angstrom
-2.6126 -1.5504 5.2006
-1.0269 -4.4196 3.9609
2.9932 0.0548 3.7020
ATOMIC_POSITIONS crystal
Y 0.0382 0.0382 0.9617
Y 0.4618 0.4618 0.5383
Cr 0.7500 0.7500 0.7500
Ta 0.2500 0.2500 0.2500
```



[7]
DFT (PBE) results for a relaxed structure of YTa2Cr. Values from VASP.

Calculated values
energy above the lowest structure with this stoichiometry: 0.95 eV/f.u.
total energy: -37.717 eV/f.u.
space-group type: I4/mmm (139)
mass density: 10.48 Mg/m³
E_form: 0.519 eV/atom
total magnetization: 3.0 Bohr magnetons per cell

Quantum ESPRESSO input file:
```
&SYSTEM
  ibrav = 0, nat = 4, ntyp = 3
/
ATOMIC_SPECIES
Cr 52.00 Cr.upf
Ta 180.95 Ta.upf
Y 88.91 Y.upf
CELL_PARAMETERS angstrom
-3.6779 -3.3895 -2.7367
1.8101 -3.4151 -4.1912
1.4254 1.3426 5.3545
ATOMIC_POSITIONS crystal
Cr 0.7500 0.2500 0.5000
Ta 0.5000 0.5000 0.0000
Ta 0.0000 0.0000 0.0000
Y 0.2500 0.7500 0.5000
```



[8]
DFT (PBE) results for a relaxed structure of YTa2Cr. Values from VASP.

Calculated values
energy above the lowest structure with this stoichiometry: 2.26 eV/f.u.
total energy: -36.409 eV/f.u.
space-group type: I-42d (122)
mass density: 9.93 Mg/m³
E_form: 0.846 eV/atom
total magnetization: 5.9 Bohr magnetons per cell

Quantum ESPRESSO input file:
```
&SYSTEM
  ibrav = 0, nat = 8, ntyp = 3
/
ATOMIC_SPECIES
Cr 52.00 Cr.upf
Ta 180.95 Ta.upf
Y 88.91 Y.upf
CELL_PARAMETERS angstrom
4.0354 0.0000 0.0000
0.0000 4.0354 0.0000
2.0177 2.0177 10.3282
ATOMIC_POSITIONS crystal
Cr 0.5000 0.5000 0.0000
Cr 0.2500 0.7500 0.5000
Ta 0.6171 0.1250 0.2500
Ta 0.3750 0.3829 0.7500
Ta 0.1329 0.6250 0.2500
Ta 0.8750 0.8671 0.7500
Y 0.7500 0.2500 0.5000
Y 0.0000 0.0000 0.0000
```